Record 1
A plane-wave DFT calculation with PBE was carried out for a relaxed Pm3Ni2Sn7 crystal.

Structure (POSCAR):
```
Pm3Ni2Sn7
1.0
4.6138 0.0000 0.0000
0.0000 4.5709 0.0000
-2.3053 0.0000 13.7450
Pm Ni Sn
3 2 7
Direct
0.0000 0.0000 0.0000
0.3146 0.5000 0.6298
0.6854 0.5000 0.3702
0.1298 0.0000 0.2574
0.8702 0.0000 0.7426
0.0901 0.5000 0.1791
0.2189 0.0000 0.4373
0.4089 0.0000 0.8195
0.5000 0.5000 0.0000
0.5911 0.0000 0.1805
0.7811 0.0000 0.5627
0.9099 0.5000 0.8209
```

Space-group type: P2/m (10)


Record 2
A plane-wave DFT calculation with PBE was carried out for a relaxed LiZrPd2 crystal.

Structure (POSCAR):
```
LiZrPd2
1.0
0.0000 3.1977 3.1977
3.1977 0.0000 3.1977
3.1977 3.1977 0.0000
Li Zr Pd
1 1 2
Direct
0.0000 0.0000 0.0000
0.7500 0.7500 0.7500
0.2500 0.2500 0.2500
0.5000 0.5000 0.5000
```

Space-group type: F-43m (216)


Record 3
A plane-wave DFT calculation with PBE was carried out for a relaxed LuSiMo crystal.

Structure (POSCAR):
```
LuSiMo
1.0
0.0000 3.1068 3.1068
3.1068 0.0000 3.1068
3.1068 3.1068 0.0000
Lu Si Mo
1 1 1
Direct
0.0000 0.0000 0.0000
0.2500 0.2500 0.2500
0.5000 0.5000 0.5000
```

Space-group type: F-43m (216)


Record 4
A plane-wave DFT calculation with PBE was carried out for a relaxed ZnC2N2 crystal.

Structure (POSCAR):
```
ZnC2N2
1.0
3.1010 -8.6191 0.0000
3.1010 8.6191 0.0000
-0.0246 0.0000 8.6953
Zn C N
4 8 8
Direct
0.0870 0.9130 0.5000
0.2974 0.5367 0.5008
0.5367 0.2974 0.0008
0.9130 0.0870 0.0000
0.0821 0.2601 0.8085
0.1692 0.3596 0.3065
0.2047 0.6731 0.5104
0.2601 0.0821 0.3085
0.3596 0.1692 0.8065
0.6731 0.2047 0.0104
0.7782 0.7862 0.0129
0.7862 0.7782 0.5129
0.0905 0.2664 0.1881
0.1142 0.7169 0.5111
0.1624 0.3525 0.6904
0.2664 0.0905 0.6881
0.3525 0.1624 0.1904
0.6167 0.7148 0.5133
0.7148 0.6167 0.0133
0.7169 0.1142 0.0111
```

Space-group type: Cc (9)


Record 5
A plane-wave DFT calculation with PBE was carried out for a relaxed B2Mo3Ir2 crystal.

Structure (POSCAR):
```
B2Mo3Ir2
1.0
2.1045 1.2150 5.8848
-2.1045 1.2150 5.8848
0.0000 -2.4301 5.8848
B Mo Ir
2 3 2
Direct
0.0000 0.0000 0.0000
0.4335 0.4335 0.4335
0.2997 0.2997 0.2997
0.5704 0.5704 0.5704
0.8626 0.8626 0.8626
0.1270 0.1270 0.1270
0.7171 0.7171 0.7171
```

Space-group type: R3m (160)


Record 6
A plane-wave DFT calculation with PBE was carried out for a relaxed Hg2GeO4 crystal.

Structure (POSCAR):
```
Hg2GeO4
1.0
-2.4084 2.4084 5.1511
2.4084 -2.4084 5.1511
2.4084 2.4084 -5.1511
Hg Ge O
2 1 4
Direct
0.0000 0.0000 0.0000
0.7500 0.2500 0.5000
0.2500 0.7500 0.5000
0.1424 0.0583 0.4920
0.3495 0.8576 0.9159
0.5663 0.6505 0.5080
0.9417 0.4337 0.0841
```

Space-group type: I-4 (82)


Record 7
A plane-wave DFT calculation with PBE was carried out for a relaxed LaSmSi2Au2 crystal.

Structure (POSCAR):
```
LaSmSi2Au2
1.0
4.3689 0.0000 0.0000
-2.1845 3.7836 0.0000
0.0000 0.0000 8.2361
La Sm Si Au
1 1 2 2
Direct
0.0000 0.0000 0.0000
0.0000 0.0000 0.5000
0.3333 0.6667 0.7442
0.6667 0.3333 0.2558
0.3333 0.6667 0.2592
0.6667 0.3333 0.7408
```

Space-group type: P-3m1 (164)


Record 8
A plane-wave DFT calculation with PBE was carried out for a relaxed Hf2Ag2Pd crystal.

Structure (POSCAR):
```
Hf2Ag2Pd
1.0
-1.8820 1.8820 6.9028
1.8820 -1.8820 6.9028
1.8820 1.8820 -6.9028
Hf Ag Pd
2 2 1
Direct
0.0957 0.0957 0.0000
0.9043 0.9043 0.0000
0.2500 0.7500 0.5000
0.7500 0.2500 0.5000
0.5000 0.5000 0.0000
```

Energy relative to the elements, eV per atom: 0.316
Space-group type: I4/mmm (139)


Respective total DFT energy (no corrections) values: -5.02; -5.58; -6.96; -7.04; -8.80; -4.36; -5.34; -5.83 eV/atom.